VASP calculation (PBE-GGA) on a relaxed Pr2Mg2In crystal.

abc: 8.3653 8.3653 3.4403
angles: 90.00 90.00 144.22
Last column: nearest neighbours and their distance in Å.
Sites, in units of the cell vectors:
Pr (0.1109, 0.8891, 0.0000)  6 Mg 3.41-3.46, 3 Pr 3.44-3.53, 4 In 3.56
Pr (0.8891, 0.1109, 0.0000)  6 Mg 3.41-3.46, 3 Pr 3.44-3.53, 4 In 3.56
Mg (0.2993, 0.7007, 0.5000)  2 Mg 3.01, 1 In 3.20
Mg (0.7007, 0.2993, 0.5000)  2 Mg 3.01, 1 In 3.20
In (0.5000, 0.5000, 0.5000)  2 Mg 3.20, 2 In 3.44, 8 Pr 3.56

Crystal system: orthorhombic
Total magnetization in μB/f.u.: 0.0
Space-group type: No. 65
DFT formation energy in eV/atom: -0.21
E above lowest polymorph in meV/atom: 12.3
Calculated total energy in eV/atom: -3.312